Entry from Alexandria: an optimized crystal structure of HoNi4B4 (GGA-PBE).

Results
E ... -6.487 eV per atom
M_tot ... 0.0 μB/f.u.
Energy of formation from the pure elements ... -0.44 eV/atom

a b c (Å): 5.041 5.041 7.040
angles (deg): 90.00 90.00 90.00
Space group P4_2/nmc (No. 137, origin choice 2)
One atom of each set of equivalent atoms:
1 Ho 0.250 0.750 0.250 x2
2 Ni 0.000 0.250 0.116 x8
3 B 0.079 0.250 0.410 x8


Entry from Alexandria: an optimized crystal structure of HoNi8B4 (GGA-PBE).

Results
E ... -6.146 eV per atom
M_tot ... 0.0 μB/f.u.
Energy of formation from the pure elements ... -0.18 eV/atom

a b c (Å): 7.605 7.605 4.463
angles (deg): 90.00 90.00 90.00
Space group I4/mmm (No. 139)
One atom of each set of equivalent atoms:
1 Ho 0.000 0.000 0.000 x2
2 Ni 0.000 0.227 0.500 x8
3 Ni 0.000 0.342 0.000 x8
4 B 0.250 0.250 0.250 x8


Entry from Alexandria: an optimized crystal structure of HoNiB2 (GGA-PBE).

Results
E ... -6.473 eV per atom
M_tot ... 0.0 μB/f.u.
Energy of formation from the pure elements ... -0.54 eV/atom

a b c (Å): 5.788 3.526 9.181
angles (deg): 90.00 90.00 90.00
Space group Pnma (No. 62)
One atom of each set of equivalent atoms:
1 Ho 0.130 0.250 0.132 x4
2 Ni 0.115 0.250 0.436 x4
3 B 0.029 0.250 0.672 x4
4 B 0.230 0.250 0.830 x4